[1]
10
Lattice="4.158 0.000 0.000 0.000 4.158 0.000 0.000 0.000 11.543" Properties=species:S:1:pos:R:3 comment="PBE-GGA Y2TiGa4Au3, relaxed" delta_e_f_ev_per_atom=-0.584 final_energy_ry_per_atom=-0.357 pbc="T T T"
Y 0.000 2.079 2.821
Y 2.079 0.000 8.722
Ti 2.079 2.079 0.000
Ga 0.000 0.000 5.772
Ga 0.000 2.079 9.916
Ga 2.079 0.000 1.627
Ga 2.079 2.079 5.772
Au 0.000 0.000 0.000
Au 0.000 2.079 7.396
Au 2.079 0.000 4.148

[2]
5
Lattice="5.356 0.000 0.000 0.000 5.356 0.000 0.000 0.000 4.829" Properties=species:S:1:pos:R:3 comment="PBE-GGA Y2TiGaAu, relaxed" delta_e_f_ev_per_atom=0.418 final_energy_ry_per_atom=-0.368 pbc="T T T"
Y 0.000 2.678 0.000
Y 2.678 0.000 0.000
Ti 0.000 0.000 0.000
Ga 2.678 2.678 2.415
Au 0.000 0.000 2.415

[3]
4
Lattice="3.926 0.000 0.000 0.000 3.957 0.000 0.000 0.000 4.140" Properties=species:S:1:pos:R:3 comment="PBE-GGA TiZnGaAu, relaxed" e_above_lowest_polymorph_ev_per_atom=0.000 delta_e_f_ev_per_atom=-0.344 final_energy_ry_per_atom=-0.310 pbc="T T T"
Ti 0.000 0.000 0.000
Zn 1.963 0.000 2.070
Ga 1.963 1.979 0.000
Au 0.000 1.979 2.070

[4]
4
Lattice="0.000 3.197 3.197 3.197 0.000 3.197 3.197 3.197 0.000" Properties=species:S:1:pos:R:3 comment="PBE-GGA TiZnGaAu, relaxed" e_above_lowest_polymorph_ev_per_atom=0.123 delta_e_f_ev_per_atom=-0.221 final_energy_ry_per_atom=-0.301 pbc="T T T"
Ti 0.000 0.000 0.000
Zn 3.197 3.197 3.197
Ga 4.796 4.796 4.796
Au 1.599 1.599 1.599